## P
The following is a PBE calculation of a relaxed structure of Hf3WN, from the Alexandria database.

CIF file:
```
data_Hf3WN
_cell_length_a 4.411
_cell_length_b 4.411
_cell_length_c 4.411
_cell_angle_alpha 90.00
_cell_angle_beta 90.00
_cell_angle_gamma 90.00
_space_group_name_H-M_alt 'P 1'
_space_group_IT_number 1
loop_
_space_group_symop_operation_xyz
'x,y,z'
loop_
_atom_site_label
_atom_site_fract_x
_atom_site_fract_y
_atom_site_fract_z
Hf1 0.000 0.500 0.000
N1 0.000 0.000 0.000
Hf2 0.000 0.000 0.500
Hf3 0.500 0.000 0.000
W1 0.500 0.500 0.500
```

Properties
**Space-group type**: Pm-3m, No. 221
**Calculated density**: 14.19 g/cm3

***

## Q
The following is a PBE calculation of a relaxed structure of Hf3WN, from the Alexandria database.

CIF file:
```
data_Hf3WN
_cell_length_a 5.021
_cell_length_b 5.021
_cell_length_c 5.021
_cell_angle_alpha 90.00
_cell_angle_beta 90.00
_cell_angle_gamma 90.00
_space_group_name_H-M_alt 'P 1'
_space_group_IT_number 1
loop_
_space_group_symop_operation_xyz
'x,y,z'
loop_
_atom_site_label
_atom_site_fract_x
_atom_site_fract_y
_atom_site_fract_z
Hf1 0.000 0.000 0.500
Hf2 0.500 0.000 0.000
W1 0.000 0.000 0.000
N1 0.500 0.500 0.500
Hf3 0.000 0.500 0.000
```

Properties
**Space-group type**: Pm-3m, No. 221
**Calculated density**: 9.62 g/cm3

***

Of them, P has the highest stability.

***

## P
The following is a PBE calculation of a relaxed structure of YHf2N2, from the Alexandria database.

CIF file:
```
data_YHf2N2
_cell_length_a 4.235
_cell_length_b 4.235
_cell_length_c 6.444
_cell_angle_alpha 70.82
_cell_angle_beta 70.82
_cell_angle_gamma 90.00
_space_group_name_H-M_alt 'P 1'
_space_group_IT_number 1
loop_
_space_group_symop_operation_xyz
'x,y,z'
loop_
_atom_site_label
_atom_site_fract_x
_atom_site_fract_y
_atom_site_fract_z
N1 0.793 0.793 0.415
Y1 0.000 0.000 0.000
N2 0.207 0.207 0.585
Hf1 0.750 0.250 0.500
Hf2 0.250 0.750 0.500
```

Properties
**Space-group type**: I4/mmm, No. 139
**Calculated density**: 7.69 g/cm3

***

## Q
The following is a PBE calculation of a relaxed structure of YHf2N2, from the Alexandria database.

CIF file:
```
data_YHf2N2
_cell_length_a 6.555
_cell_length_b 6.555
_cell_length_c 3.214
_cell_angle_alpha 90.00
_cell_angle_beta 90.00
_cell_angle_gamma 90.00
_space_group_name_H-M_alt 'P 1'
_space_group_IT_number 1
loop_
_space_group_symop_operation_xyz
'x,y,z'
loop_
_atom_site_label
_atom_site_fract_x
_atom_site_fract_y
_atom_site_fract_z
Y1 0.500 0.500 0.000
Hf1 0.342 0.158 0.500
N1 0.851 0.649 0.000
Hf2 0.658 0.842 0.500
Y2 0.000 0.000 0.000
Hf3 0.842 0.342 0.500
Hf4 0.158 0.658 0.500
N2 0.351 0.851 0.000
N3 0.649 0.149 0.000
N4 0.149 0.351 0.000
```

Properties
**Space-group type**: P4/mbm, No. 127
**Calculated density**: 11.40 g/cm3

***

Of them, P has the highest stability.

***

## P
The following is a PBE calculation of a relaxed structure of Y3HfN, from the Alexandria database.

CIF file:
```
data_Y3HfN
_cell_length_a 5.559
_cell_length_b 5.559
_cell_length_c 5.559
_cell_angle_alpha 90.00
_cell_angle_beta 90.00
_cell_angle_gamma 90.00
_space_group_name_H-M_alt 'P 1'
_space_group_IT_number 1
loop_
_space_group_symop_operation_xyz
'x,y,z'
loop_
_atom_site_label
_atom_site_fract_x
_atom_site_fract_y
_atom_site_fract_z
N1 0.500 0.500 0.500
Y1 0.000 0.000 0.500
Y2 0.500 0.000 0.000
Hf1 0.000 0.000 0.000
Y3 0.000 0.500 0.000
```

Properties
**Space-group type**: Pm-3m, No. 221
**Calculated density**: 4.44 g/cm3

***

## Q
The following is a PBE calculation of a relaxed structure of Y3HfN, from the Alexandria database.

CIF file:
```
data_Y3HfN
_cell_length_a 4.868
_cell_length_b 4.868
_cell_length_c 4.868
_cell_angle_alpha 90.00
_cell_angle_beta 90.00
_cell_angle_gamma 90.00
_space_group_name_H-M_alt 'P 1'
_space_group_IT_number 1
loop_
_space_group_symop_operation_xyz
'x,y,z'
loop_
_atom_site_label
_atom_site_fract_x
_atom_site_fract_y
_atom_site_fract_z
Y1 0.000 0.500 0.000
Hf1 0.500 0.500 0.500
Y2 0.500 0.000 0.000
N1 0.000 0.000 0.000
Y3 0.000 0.000 0.500
```

Properties
**Space-group type**: Pm-3m, No. 221
**Calculated density**: 6.61 g/cm3

***

Of them, Q has the highest stability.

***

## P
The following is a PBE calculation of a relaxed structure of YHf2ZrN, from the Alexandria database.

CIF file:
```
data_YHf2ZrN
_cell_length_a 4.468
_cell_length_b 4.468
_cell_length_c 4.952
_cell_angle_alpha 90.00
_cell_angle_beta 90.00
_cell_angle_gamma 90.00
_space_group_name_H-M_alt 'P 1'
_space_group_IT_number 1
loop_
_space_group_symop_operation_xyz
'x,y,z'
loop_
_atom_site_label
_atom_site_fract_x
_atom_site_fract_y
_atom_site_fract_z
Zr1 0.500 0.500 0.500
N1 0.000 0.000 0.000
Hf1 0.000 0.500 0.000
Hf2 0.500 0.000 0.000
Y1 0.000 0.000 0.500
```

Properties
**Space-group type**: P4/mmm, No. 123
**Calculated density**: 9.26 g/cm3

***

## Q
The following is a PBE calculation of a relaxed structure of YHf2ZrN, from the Alexandria database.

CIF file:
```
data_YHf2ZrN
_cell_length_a 4.547
_cell_length_b 4.547
_cell_length_c 4.760
_cell_angle_alpha 90.00
_cell_angle_beta 90.00
_cell_angle_gamma 90.00
_space_group_name_H-M_alt 'P 1'
_space_group_IT_number 1
loop_
_space_group_symop_operation_xyz
'x,y,z'
loop_
_atom_site_label
_atom_site_fract_x
_atom_site_fract_y
_atom_site_fract_z
N1 0.000 0.000 0.000
Y1 0.500 0.500 0.500
Hf1 0.000 0.500 0.000
Hf2 0.500 0.000 0.000
Zr1 0.000 0.000 0.500
```

Properties
**Space-group type**: P4/mmm, No. 123
**Calculated density**: 9.30 g/cm3

***

Of them, P has the highest stability.